[1]
The following is a PBE-GGA calculation of crystalline Pr3HgSe at its relaxed geometry, from the Alexandria database.

The calculation puts the final energy at -4.46 eV/atom. Its space group is Pnma, No. 62. The density of states at the Fermi level is 21.36 states/eV/cell.

a b c (Å): 4.6150 7.7883 16.9837
angles (deg): 90.00 90.00 90.00
Positions (direct):
Pr: 0.2500 0.3744 0.5585
Pr: 0.7500 0.8136 0.2285
Pr: 0.7500 0.4805 0.8979
Pr: 0.7500 0.9805 0.6021
Pr: 0.7500 0.6256 0.4415
Pr: 0.2500 0.0195 0.3979
Pr: 0.2500 0.8744 0.9415
Pr: 0.7500 0.3136 0.2715
Pr: 0.2500 0.6864 0.7285
Pr: 0.2500 0.1864 0.7715
Pr: 0.7500 0.1256 0.0585
Pr: 0.2500 0.5195 0.1021
Hg: 0.7500 0.9051 0.8075
Hg: 0.2500 0.0949 0.1925
Hg: 0.7500 0.4051 0.6925
Hg: 0.2500 0.5949 0.3075
Se: 0.2500 0.2731 0.9628
Se: 0.2500 0.7731 0.5372
Se: 0.7500 0.2269 0.4628
Se: 0.7500 0.7269 0.0372

---

[2]
The following is a PBE-GGA calculation of crystalline PrHg2Se at its relaxed geometry, from the Alexandria database.

The calculation puts the final energy at -2.08 eV/atom. Its space group is R-3m, No. 166. The density of states at the Fermi level is 4.32 states/eV/cell.

a b c (Å): 4.0046 4.0046 9.8766
angles (deg): 78.30 78.30 60.00
Positions (direct):
Pr: 0.0000 0.0000 0.0000
Hg: 0.1073 0.1073 0.6780
Hg: 0.8927 0.8927 0.3220
Se: 0.5000 0.5000 0.5000

---

[3]
The following is a PBE-GGA calculation of crystalline TbPr2HgSe5 at its relaxed geometry, from the Alexandria database.

The calculation puts the final energy at -5.01 eV/atom. Its space group is Cmc2_1, No. 36. The density of states at the Fermi level is 3.95 states/eV/cell.

a b c (Å): 4.1328 9.1743 12.8419
angles (deg): 90.00 90.00 103.02
Positions (direct):
Tb: 0.8026 0.6053 0.5058
Tb: 0.1974 0.3947 0.0058
Pr: 0.8665 0.7331 0.8061
Pr: 0.1191 0.2382 0.6823
Pr: 0.1335 0.2669 0.3061
Pr: 0.8809 0.7618 0.1823
Hg: 0.5412 0.0824 0.9618
Hg: 0.4588 0.9176 0.4618
Se: 0.3566 0.7132 0.9990
Se: 0.6934 0.3869 0.8450
Se: 0.4968 0.9935 0.7710
Se: 0.2892 0.5785 0.6637
Se: 0.9548 0.9097 0.5892
Se: 0.6434 0.2868 0.4990
Se: 0.3066 0.6131 0.3450
Se: 0.5032 0.0065 0.2710
Se: 0.7108 0.4215 0.1637
Se: 0.0452 0.0903 0.0892